Entry 1:
## BAsAuSe2 (PBE-GGA)

Data for a geometry-optimized BAsAuSe2 structure.

Cell: 4.6279 4.6279 4.2158 Å, 90.00 90.00 90.00°
Space group P4/mmm (No. 123)
Unique sites:
1 B 0.0000 0.0000 0.0000 [1 per cell]
2 As 0.0000 0.0000 0.5000 [1 per cell]
3 Au 0.5000 0.5000 0.5000 [1 per cell]
4 Se 0.0000 0.5000 0.0000 [2 per cell]

Values from the calculation:
- size of the total moment (μB/f.u.) = 0.00
- uncorrected energy (eV per atom) = -3.5099
- offset from the most stable computed form (meV per atom) = 80
- uncorrected formation energy (eV/atom) = 0.805

=====

Entry 2:
## BaLa3B4O12 (PBE-GGA)

Data for a geometry-optimized BaLa3B4O12 structure.

Cell: 10.6316 10.6316 9.4189 Å, 90.00 90.00 120.00°
Space group R32 (No. 155, hexagonal axes)
Unique sites:
1 Ba 0.0000 0.0000 0.0000 [3 per cell]
2 La 0.0000 0.5325 0.0000 [9 per cell]
3 B 0.0000 0.0000 0.5000 [3 per cell]
4 B 0.0000 0.4657 0.5000 [9 per cell]
5 O 0.0000 0.5966 0.5000 [9 per cell]
6 O 0.0000 0.8693 0.5000 [9 per cell]
7 O 0.0041 0.2038 0.8174 [18 per cell]

Values from the calculation:
- size of the total moment (μB/f.u.) = 1.14
- uncorrected energy (eV per atom) = -8.0363
- uncorrected formation energy (eV/atom) = -2.891

=====

Entry 3:
## Tm3SnHg (PBE-GGA)

Data for a geometry-optimized Tm3SnHg structure.

Cell: 6.1944 9.9958 8.9562 Å, 90.00 90.00 90.00°
Space group Pnma (No. 62)
Unique sites:
1 Tm 0.0876 0.0698 0.1729 [8 per cell]
2 Tm 0.2069 0.7500 0.3605 [4 per cell]
3 Sn 0.0000 0.0000 0.5000 [4 per cell]
4 Hg 0.1827 0.7500 0.0179 [4 per cell]

Values from the calculation:
- size of the total moment (μB/f.u.) = 0.00
- uncorrected energy (eV per atom) = -3.8574
- energy relative to the elements (eV per formula unit) = -1.6

=====

Entry 4:
## CeNd2ScBi5 (PBE-GGA)

Data for a geometry-optimized CeNd2ScBi5 structure.

Cell: 5.6468 5.6468 11.4699 Å, 90.00 90.00 90.00°
Space group P4/mmm (No. 123)
Unique sites:
1 Ce 0.0000 0.0000 0.0000 [1 per cell]
2 Nd 0.5000 0.5000 0.2095 [2 per cell]
3 Sc 0.0000 0.0000 0.5000 [1 per cell]
4 Bi 0.0000 0.0000 0.2611 [2 per cell]
5 Bi 0.0000 0.5000 0.0000 [2 per cell]
6 Bi 0.5000 0.5000 0.5000 [1 per cell]

Values from the calculation:
- size of the total moment (μB/f.u.) = 0.00
- uncorrected energy (eV per atom) = -4.6090
- energy relative to the elements (eV per formula unit) = -0.3